# 1
# Sr3InGe (PBE, optimized geometry)
# **Energy relative to the lowest polymorph listed for this composition**: 0 kJ/mol of formula units
# **Crystal system**: cubic
# **DOS(E_F)**: 5.8 states/eV per cell
# **Magnetization**: 0.000 μB/atom
# **Formation energy**: -0.1967 eV/atom
data_Sr3InGe
_cell_length_a 6.064
_cell_length_b 6.064
_cell_length_c 6.064
_cell_angle_alpha 90.00
_cell_angle_beta 90.00
_cell_angle_gamma 90.00
_space_group_name_H-M_alt 'P 1'
_space_group_IT_number 1
loop_
_space_group_symop_operation_xyz
'x,y,z'
loop_
_atom_site_label
_atom_site_type_symbol
_atom_site_fract_x
_atom_site_fract_y
_atom_site_fract_z
Sr1 Sr 0.500 0.000 0.000
Sr2 Sr 0.000 0.000 0.500
Sr3 Sr 0.000 0.500 0.000
In1 In 0.500 0.500 0.500
Ge1 Ge 0.000 0.000 0.000

# 2
# KBa2Ta (PBE, optimized geometry)
# **Energy relative to the lowest polymorph listed for this composition**: 109 kJ/mol of formula units
# **Crystal system**: orthorhombic
# **DOS(E_F)**: 5.8 states/eV per cell
# **Magnetization**: 0.395 μB/atom
# **Formation energy**: 1.1054 eV/atom
data_KBa2Ta
_cell_length_a 6.275
_cell_length_b 3.560
_cell_length_c 7.180
_cell_angle_alpha 90.01
_cell_angle_beta 90.00
_cell_angle_gamma 90.00
_space_group_name_H-M_alt 'P 1'
_space_group_IT_number 1
loop_
_space_group_symop_operation_xyz
'x,y,z'
loop_
_atom_site_label
_atom_site_type_symbol
_atom_site_fract_x
_atom_site_fract_y
_atom_site_fract_z
K1 K 0.000 0.625 0.487
Ba1 Ba 0.000 0.126 0.938
Ba2 Ba 0.500 0.124 0.258
Ta1 Ta 0.500 0.625 0.817

# 3
# CaScZn17 (PBE, optimized geometry)
# **Crystal system**: trigonal
# **DOS(E_F)**: 5.5 states/eV per cell
# **Magnetization**: 0.000 μB/atom
# **Formation energy**: -0.1696 eV/atom
data_CaScZn17
_cell_length_a 6.776
_cell_length_b 6.776
_cell_length_c 6.776
_cell_angle_alpha 82.82
_cell_angle_beta 82.82
_cell_angle_gamma 82.82
_space_group_name_H-M_alt 'P 1'
_space_group_IT_number 1
loop_
_space_group_symop_operation_xyz
'x,y,z'
loop_
_atom_site_label
_atom_site_type_symbol
_atom_site_fract_x
_atom_site_fract_y
_atom_site_fract_z
Zn1 Zn 0.847 0.350 0.350
Zn2 Zn 0.350 0.847 0.350
Zn3 Zn 0.298 0.002 0.699
Zn4 Zn 0.903 0.903 0.903
Zn5 Zn 0.298 0.699 0.002
Zn6 Zn 0.002 0.298 0.699
Zn7 Zn 0.699 0.298 0.002
Zn8 Zn 0.002 0.699 0.298
Zn9 Zn 0.642 0.171 0.642
Zn10 Zn 0.105 0.105 0.105
Zn11 Zn 0.642 0.642 0.171
Zn12 Zn 0.350 0.350 0.847
Zn13 Zn 0.996 0.504 0.996
Zn14 Zn 0.504 0.996 0.996
Zn15 Zn 0.171 0.642 0.642
Zn16 Zn 0.996 0.996 0.504
Zn17 Zn 0.699 0.002 0.298
Sc1 Sc 0.333 0.333 0.333
Ca1 Ca 0.663 0.663 0.663

| no. | calculated density (Mg/m³) |
| --- | --- |
| 1 | 3.35 |
| 2 | 5.12 |
| 3 | 6.53 |